Arrangement w

VASP calculation (GGA-PBEsol) on LaBe2Re after structural relaxation.

Cell and atoms, written as POSCAR:
```
LaBe2Re
1.0
3.394 0.000 0.000
0.000 1.630 5.733
0.000 -1.630 5.733
La Be Re
1 2 1
Direct
0.000 0.000 0.000 La
0.000 0.245 0.245 Be
0.500 0.345 0.345 Be
0.500 0.708 0.708 Re
```

Computed properties:
Crystal system   orthorhombic
SG   Amm2
Calculated volume   63.44 Å³/cell
DOS at the Fermi energy   2.879 states/eV/cell
Size of the total moment   0.0000 μB per atom

***

Arrangement x

VASP calculation (GGA-PBEsol) on LaBe2Re after structural relaxation.

Cell and atoms, written as POSCAR:
```
LaBe2Re
1.0
-1.516 2.460 4.271
1.516 -2.460 4.271
1.516 2.460 -4.271
La Be Re
1 2 1
Direct
0.000 0.000 0.000 La
0.299 0.799 0.500 Be
0.505 0.505 0.000 Be
0.712 0.212 0.500 Re
```

Computed properties:
Crystal system   orthorhombic
SG   Imm2
Calculated volume   63.69 Å³/cell
DOS at the Fermi energy   2.072 states/eV/cell
Size of the total moment   0.0000 μB per atom

***

The least stable of them is arrangement x.

***

Arrangement w

VASP calculation (GGA-PBEsol) on LaBeSb2 after structural relaxation.

Cell and atoms, written as POSCAR:
```
LaBeSb2
1.0
3.826 0.000 0.000
0.000 3.826 0.000
0.000 0.000 6.456
La Be Sb
1 1 2
Direct
0.000 0.000 0.000 La
0.000 0.000 0.500 Be
0.500 0.500 0.285 Sb
0.500 0.500 0.715 Sb
```

Computed properties:
Crystal system   tetragonal
SG   P4/mmm
Calculated volume   94.48 Å³/cell
DOS at the Fermi energy   2.224 states/eV/cell
Size of the total moment   0.0000 μB per atom

***

Arrangement x

VASP calculation (GGA-PBEsol) on LaBeSb2 after structural relaxation.

Cell and atoms, written as POSCAR:
```
LaBeSb2
1.0
0.000 3.659 3.659
3.659 0.000 3.659
3.659 3.659 0.000
La Be Sb
1 1 2
Direct
0.000 0.000 0.000 La
0.500 0.500 0.500 Be
0.250 0.250 0.250 Sb
0.750 0.750 0.750 Sb
```

Computed properties:
Crystal system   cubic
SG   Fm-3m
Calculated volume   98.00 Å³/cell
DOS at the Fermi energy   2.249 states/eV/cell
Size of the total moment   0.0000 μB per atom

***

Arrangement y

VASP calculation (GGA-PBEsol) on LaBeSb2 after structural relaxation.

Cell and atoms, written as POSCAR:
```
LaBeSb2
1.0
0.000 3.670 3.670
3.670 0.000 3.670
3.670 3.670 0.000
La Be Sb
1 1 2
Direct
0.000 0.000 0.000 La
0.250 0.250 0.250 Be
0.500 0.500 0.500 Sb
0.750 0.750 0.750 Sb
```

Computed properties:
Crystal system   cubic
SG   F-43m
Calculated volume   98.90 Å³/cell
DOS at the Fermi energy   2.984 states/eV/cell
Size of the total moment   0.0000 μB per atom

***

The least stable of them is arrangement y.

***

Arrangement w

VASP calculation (GGA-PBEsol) on LaScBe2 after structural relaxation.

Cell and atoms, written as POSCAR:
```
LaScBe2
1.0
-2.026 2.026 4.536
2.026 -2.026 4.536
2.026 2.026 -4.536
La Sc Be
1 1 2
Direct
0.000 0.000 0.000 La
0.750 0.250 0.500 Sc
0.250 0.750 0.500 Be
0.500 0.500 0.000 Be
```

Computed properties:
Crystal system   tetragonal
SG   I-4m2
Calculated volume   74.49 Å³/cell
DOS at the Fermi energy   2.835 states/eV/cell
Size of the total moment   0.0001 μB per atom

***

Arrangement x

VASP calculation (GGA-PBEsol) on LaScBe2 after structural relaxation.

Cell and atoms, written as POSCAR:
```
LaScBe2
1.0
0.000 3.292 3.292
3.292 0.000 3.292
3.292 3.292 0.000
La Sc Be
1 1 2
Direct
0.000 0.000 0.000 La
0.750 0.750 0.750 Sc
0.250 0.250 0.250 Be
0.500 0.500 0.500 Be
```

Computed properties:
Crystal system   cubic
SG   F-43m
Calculated volume   71.33 Å³/cell
DOS at the Fermi energy   5.481 states/eV/cell
Size of the total moment   0.0003 μB per atom

***

The least stable of them is arrangement x.